Entry 1:
Compound: InMo2
Source: Alexandria via LeMat-Bulk
Functional: GGA-PBE
Structure: relaxed

POSCAR file:
```
InMo2
1.0
6.4146 0.0000 0.0000
0.0000 6.4146 0.0000
0.0000 0.0000 6.4146
In Mo
4 8
Direct
0.0000 0.0000 0.0000
0.0000 0.5000 0.5000
0.5000 0.0000 0.5000
0.5000 0.5000 0.0000
0.1005 0.6005 0.8995
0.1005 0.8995 0.3995
0.3995 0.1005 0.8995
0.3995 0.3995 0.3995
0.6005 0.6005 0.6005
0.6005 0.8995 0.1005
0.8995 0.1005 0.6005
0.8995 0.3995 0.1005
```

Properties
magnetic moment	0.0	Bohr magnetons per cell
excess energy over the best structure of this formula in the dataset	1.184	eV/atom
electronic total energy	-6.782	eV/atom
SG	Pa-3

Entry 2:
Compound: InMo2
Source: Alexandria via LeMat-Bulk
Functional: GGA-PBE
Structure: relaxed

POSCAR file:
```
InMo2
1.0
2.7881 0.0000 0.0000
0.0000 4.3870 0.0000
0.0000 0.0000 8.5000
In Mo
2 4
Direct
0.0000 0.0000 0.0000
0.5000 0.5000 0.5000
0.0000 0.0000 0.3348
0.0000 0.0000 0.6652
0.5000 0.5000 0.1652
0.5000 0.5000 0.8348
```

Properties
magnetic moment	0.0	Bohr magnetons per cell
excess energy over the best structure of this formula in the dataset	0.185	eV/atom
electronic total energy	-7.780	eV/atom
SG	Immm

Entry 3:
Compound: InMo3
Source: Alexandria via LeMat-Bulk
Functional: GGA-PBE
Structure: relaxed

POSCAR file:
```
InMo3
1.0
3.2383 0.0000 0.0000
0.0000 4.6523 0.0000
0.0000 0.0000 9.1130
In Mo
2 6
Direct
0.0000 0.0000 0.0000
0.5000 0.5000 0.0000
0.0000 0.0000 0.5000
0.0000 0.5000 0.2657
0.0000 0.5000 0.7343
0.5000 0.0000 0.2657
0.5000 0.0000 0.7343
0.5000 0.5000 0.5000
```

Properties
magnetic moment	0.0	Bohr magnetons per cell
electronic total energy	-8.578	eV/atom
SG	Cmmm

Entry 4:
Compound: InMo4
Source: Alexandria via LeMat-Bulk
Functional: GGA-PBE
Structure: relaxed

POSCAR file:
```
InMo4
1.0
4.2428 0.0000 0.0000
0.0000 4.2428 0.0000
0.0000 0.0000 10.8587
In Mo
2 8
Direct
0.0000 0.0000 0.0000
0.5000 0.5000 0.5000
0.0000 0.0000 0.3815
0.0000 0.0000 0.6185
0.0000 0.5000 0.2500
0.0000 0.5000 0.7500
0.5000 0.0000 0.2500
0.5000 0.0000 0.7500
0.5000 0.5000 0.1185
0.5000 0.5000 0.8815
```

Properties
magnetic moment	0.0	Bohr magnetons per cell
excess energy over the best structure of this formula in the dataset	0.323	eV/atom
electronic total energy	-8.578	eV/atom
SG	I4/mmm